1.
# TmTh5Au6

Crystalline TmTh5Au6 at its relaxed geometry (PBE-GGA, the Alexandria database).

Values from the calculation:
SG   C2/m
ΔH_f (0 K)   -0.6195 eV per atom
Raw total energy   -5.72 eV/atom
Size of the total moment   0.0 μB/f.u.

Structure (POSCAR):
```
TmTh5Au6
1.0
-3.416 -2.970 -2.517
-4.654 0.304 5.957
-7.362 4.937 -1.199
Au Tm Th
6 1 5
direct
0.161 0.389 0.679
0.839 0.611 0.321
0.839 0.068 0.321
0.161 0.932 0.679
0.500 0.209 0.000
0.500 0.791 0.000
0.000 0.000 0.000
0.684 0.183 0.635
0.000 0.500 0.000
0.651 0.651 0.697
0.349 0.349 0.303
0.316 0.817 0.365
```

2.
# TmTh2Au

Crystalline TmTh2Au at its relaxed geometry (PBE-GGA, the Alexandria database).

Values from the calculation:
SG   R-3m
ΔH_f (0 K)   0.2387 eV per atom
Energy above the lowest structure with this stoichiometry   466 meV per atom
Raw total energy   -5.41 eV/atom
Size of the total moment   0.0 μB/f.u.

Structure (POSCAR):
```
TmTh2Au
1.0
3.456 0.000 0.000
1.728 2.993 0.000
1.728 0.998 11.732
Th Au Tm
2 1 1
direct
0.916 0.916 0.251
0.084 0.084 0.749
0.000 0.000 0.000
0.500 0.500 0.500
```

3.
# TmThAu6

Crystalline TmThAu6 at its relaxed geometry (PBE-GGA, the Alexandria database).

Values from the calculation:
SG   C2/m
ΔH_f (0 K)   -0.6425 eV per atom
Raw total energy   -4.59 eV/atom
Size of the total moment   0.0 μB/f.u.

Structure (POSCAR):
```
TmThAu6
1.0
4.744 0.000 1.295
2.389 4.252 0.586
0.247 -1.318 8.432
Th Au Tm
1 6 1
direct
0.000 0.500 0.500
0.498 0.750 0.254
0.240 0.880 0.639
0.258 0.371 0.114
0.760 0.120 0.361
0.742 0.629 0.886
0.502 0.250 0.746
0.000 0.000 0.000
```

4.
# TmThAu2

Crystalline TmThAu2 at its relaxed geometry (PBE-GGA, the Alexandria database).

Values from the calculation:
SG   Fm-3m
ΔH_f (0 K)   -0.6960 eV per atom
Energy above the lowest structure with this stoichiometry   37 meV per atom
Raw total energy   -5.31 eV/atom
Size of the total moment   0.0 μB/f.u.

Structure (POSCAR):
```
TmThAu2
1.0
5.166 0.000 0.000
2.583 4.474 0.000
2.583 1.491 4.218
Au Tm Th
2 1 1
direct
0.750 0.750 0.750
0.250 0.250 0.250
0.500 0.500 0.500
0.000 0.000 0.000
```

5.
# Tm2ThAu3

Crystalline Tm2ThAu3 at its relaxed geometry (PBE-GGA, the Alexandria database).

Values from the calculation:
SG   P4/mmm
ΔH_f (0 K)   -0.7808 eV per atom
Raw total energy   -5.15 eV/atom
Size of the total moment   0.0 μB/f.u.

Structure (POSCAR):
```
Tm2ThAu3
1.0
3.535 0.000 0.000
0.000 3.535 0.000
0.000 0.000 11.227
Th Au Tm
1 3 2
direct
0.500 0.500 0.500
0.000 0.000 0.312
0.000 0.000 0.000
0.000 0.000 0.688
0.500 0.500 0.159
0.500 0.500 0.841
```

6.
# TmTh2Au

Crystalline TmTh2Au at its relaxed geometry (PBE-GGA, the Alexandria database).

Values from the calculation:
SG   P4/mmm
ΔH_f (0 K)   -0.2276 eV per atom
Energy above the lowest structure with this stoichiometry   0 meV per atom
Raw total energy   -5.87 eV/atom
Size of the total moment   0.0 μB/f.u.

Structure (POSCAR):
```
TmTh2Au
1.0
-0.764 2.652 -2.324
0.165 -2.348 -2.734
-8.714 -1.695 0.929
Th Tm Au
2 1 1
direct
0.000 0.000 0.219
0.000 0.000 0.781
0.500 0.500 0.500
0.500 0.500 0.000
```